The following is a PBE calculation of a relaxed structure of Pm2Nd3Y6Pb, from Alexandria.

abc: 6.203 6.203 11.824
angles: 95.04 95.04 120.00
Fractional positions:
Pm  0.334  0.666  0.000
Pm  0.666  0.334  0.000
Nd  0.168  0.832  0.500
Nd  0.832  0.168  0.500
Nd  0.500  0.500  0.500
Y  0.919  0.593  0.754
Y  0.756  0.756  0.247
Y  0.081  0.407  0.246
Y  0.593  0.919  0.754
Y  0.244  0.244  0.753
Y  0.407  0.081  0.246
Pb  0.000  0.000  0.000

Summary:
Theoretical density in kg/m3: 6265
Space group: C2/m, No. 12
V in A^3/atom: 32.32
Calculated formation energy in eV per atom: -0.07